DyCu11Ni | PBE-GGA | optimized geometry

Cell and atoms, written as POSCAR:
```
DyCu11Ni
1.0
2.411 -6.006 0.000
2.411 6.006 0.000
-2.291 0.000 5.943
Dy Cu Ni
1 11 1
Direct
0.000 0.000 0.000
0.000 0.500 0.000
0.008 0.656 0.643
0.278 0.500 0.778
0.344 0.992 0.357
0.500 0.000 0.000
0.500 0.278 0.778
0.500 0.500 0.500
0.500 0.722 0.222
0.656 0.008 0.643
0.722 0.500 0.222
0.992 0.344 0.357
0.000 0.000 0.500
```

The value obtained for the density of states at the Fermi level is 4.4 states/eV/cell. The value obtained for the calculated total energy is -0.3204 Ry per atom. Its formation energy is -1.23 eV/f.u.

Na2Zn4CdSn3 | PBE-GGA | optimized geometry

Cell and atoms, written as POSCAR:
```
Na2Zn4CdSn3
1.0
4.409 0.000 0.000
0.000 4.409 0.000
0.000 0.000 12.134
Na Zn Cd Sn
2 4 1 3
Direct
0.000 0.500 0.248
0.500 0.000 0.752
0.000 0.000 0.500
0.000 0.500 0.855
0.500 0.000 0.145
0.500 0.500 0.500
0.500 0.500 0.000
0.000 0.000 0.000
0.000 0.500 0.638
0.500 0.000 0.362
```

The value obtained for the density of states at the Fermi level is 4.9 states/eV/cell. The value obtained for the calculated total energy is -0.1558 Ry per atom. Its formation energy is -0.54 eV/f.u.